# 1
DFT (PBE) results for an optimized crystal structure of Sr2Zn3SiPt4.

a b c (Å): 4.377 4.377 10.302
angles (deg): 90.00 90.00 90.00
Fractional positions:
Sr 0.000 0.500 0.244
Sr 0.500 0.000 0.756
Zn 0.000 0.500 0.866
Zn 0.500 0.000 0.134
Zn 0.500 0.500 0.500
Si 0.000 0.000 0.500
Pt 0.000 0.000 0.000
Pt 0.000 0.500 0.616
Pt 0.500 0.000 0.384
Pt 0.500 0.500 0.000

=====

# 2
DFT (PBE) results for an optimized crystal structure of SrZn2SiPt4.

a b c (Å): 9.274 9.274 9.274
angles (deg): 27.10 27.10 27.10
Fractional positions:
Sr 0.000 0.000 0.000
Zn 0.246 0.246 0.246
Zn 0.754 0.754 0.754
Si 0.500 0.500 0.500
Pt 0.139 0.139 0.139
Pt 0.412 0.412 0.412
Pt 0.588 0.588 0.588
Pt 0.861 0.861 0.861

=====

# 3
DFT (PBE) results for an optimized crystal structure of TaSiPt2.

a b c (Å): 4.783 4.783 4.783
angles (deg): 130.18 130.18 73.12
Fractional positions:
Ta 0.000 0.000 0.000
Si 0.750 0.250 0.500
Pt 0.250 0.750 0.500
Pt 0.500 0.500 0.000

=====

# 4
DFT (PBE) results for an optimized crystal structure of TaSiPt2.

a b c (Å): 2.874 4.156 5.345
angles (deg): 90.00 90.00 90.00
Fractional positions:
Ta 0.000 0.000 0.000
Si 0.500 0.000 0.500
Pt 0.500 0.500 0.245
Pt 0.500 0.500 0.755

=====

# 5
DFT (PBE) results for an optimized crystal structure of Ta2SiPt.

a b c (Å): 4.847 4.847 2.789
angles (deg): 90.00 90.00 90.00
Fractional positions:
Ta 0.000 0.500 0.000
Ta 0.500 0.000 0.000
Si 0.000 0.000 0.500
Pt 0.500 0.500 0.500

=====

# 6
DFT (PBE) results for an optimized crystal structure of Ta2SiPt.

a b c (Å): 5.745 5.745 5.745
angles (deg): 103.59 103.59 122.00
Fractional positions:
Ta 0.119 0.625 0.994
Ta 0.375 0.369 0.494
Ta 0.631 0.125 0.006
Ta 0.875 0.881 0.506
Si 0.000 0.000 0.000
Si 0.750 0.250 0.500
Pt 0.250 0.750 0.500
Pt 0.500 0.500 0.000

=====

Going through the records in order, we get N(E_F) values of 4.9, 2.9, 3.3, 1.6, 5.2, 2.7 states/eV/f.u..
Going through the records in order, we get total moment values of 0.00, 0.00, 0.00, 0.00, 0.00, 0.00 μB/f.u..
Going through the records in order, we get energy relative to the elements, uncorrected values of -7.276, -5.085, -1.534, -2.244, -1.163, -0.247 eV/f.u..